{
  "formula": "SnWF6",
  "functional": "PBE+U",
  "state": "optimized geometry",
  "lattice": [[5.852, 0.984, 0.779], [2.575, 5.347, 0.779], [0.971, 0.730, 10.212]],
  "species": ["Sn", "Sn", "F", "F", "F", "F", "F", "F", "F", "F", "F", "F", "F", "F", "W", "W"],
  "fractional_positions": [[0.759, 0.241, 0.250], [0.241, 0.759, 0.750], [0.014, 0.164, 0.624], [0.410, 0.301, 0.473], [0.986, 0.836, 0.376], [0.699, 0.590, 0.027], [0.164, 0.014, 0.124], [0.983, 0.651, 0.660], [0.836, 0.986, 0.876], [0.651, 0.983, 0.160], [0.349, 0.017, 0.840], [0.017, 0.349, 0.340], [0.590, 0.699, 0.527], [0.301, 0.410, 0.973], [0.000, 0.500, 0.500], [0.500, 0.000, 0.000]],
  "final_energy_ev_per_cell": -85.915,
  "total_magnetization_mub_per_fu": 2.00,
  "vol_a3_per_atom": 18.03
}